This record from Alexandria describes a crystal of HfSiW3 relaxed with PBEsol. The functional is SCAN.

Calculated values
Calculated volume   18.05 A^3/atom
Formation energy from raw total energies   992 meV/atom
ρ   13.945 Mg/m³
Polymorph energy (0 for the lowest one)   0 meV/atom
Density of states at the Fermi level   4.0 states/eV/f.u.
Space-group type   Pm-3m, No. 221

Unit cell a=4.486 b=4.486 c=4.486 alpha=90.00 beta=90.00 gamma=90.00
Fractional positions:
Hf 0.500 0.500 0.500
W 0.000 0.500 0.000
W 0.500 0.000 0.000
Si 0.000 0.000 0.000
W 0.000 0.000 0.500